Version P
Computed, not measured: crystalline Ce2Mg3Hg4 at its relaxed geometry at the PBE-GGA level of DFT.

CIF file:
```
data_Ce2Mg3Hg4
_space_group_name_H-M_alt 'C 1 2/m 1'
_space_group_IT_number 12
_cell_length_a 8.874
_cell_length_b 5.079
_cell_length_c 9.949
_cell_angle_alpha 90.00
_cell_angle_beta 91.56
_cell_angle_gamma 90.00
loop_
_space_group_symop_operation_xyz
'x,y,z'
'-x,-y,-z'
'-x,y,-z'
'x,-y,z'
'x+1/2,y+1/2,z'
'-x+1/2,-y+1/2,-z'
'-x+1/2,y+1/2,-z'
'x+1/2,-y+1/2,z'
loop_
_atom_site_label
_atom_site_type_symbol
_atom_site_fract_x
_atom_site_fract_y
_atom_site_fract_z
_atom_site_occupancy
Ce1 Ce 0.172 0.000 0.214 1
Mg1 Mg 0.000 0.500 0.000 1
Mg2 Mg 0.159 0.000 0.577 1
Hg1 Hg 0.011 0.500 0.349 1
Hg2 Hg 0.164 0.000 0.898 1
```

Computed properties:
**Calculated volume**: 448.28 Å³ per cell
**Spin magnetization**: 2.01 μB per formula unit

***

Version Q
Computed, not measured: crystalline Ce2Mg3Hg4 at its relaxed geometry at the PBE-GGA level of DFT.

CIF file:
```
data_Ce2Mg3Hg4
_space_group_name_H-M_alt 'C m c e'
_space_group_IT_number 64
_space_group_name_Hall '-C 2ac 2'
_cell_length_a 6.340
_cell_length_b 16.559
_cell_length_c 8.506
_cell_angle_alpha 90.00
_cell_angle_beta 90.00
_cell_angle_gamma 90.00
loop_
_atom_site_label
_atom_site_type_symbol
_atom_site_fract_x
_atom_site_fract_y
_atom_site_fract_z
_atom_site_occupancy
Ce1 Ce 0.000 0.107 0.090 1
Mg1 Mg 0.000 0.000 0.500 1
Mg2 Mg 0.250 0.222 0.750 1
Hg1 Hg 0.000 0.180 0.464 1
Hg2 Hg 0.250 0.051 0.750 1
```

Computed properties:
**Calculated volume**: 892.99 Å³ per cell
**Spin magnetization**: 2.87 μB per formula unit

***

Energy comparison, zero being the most stable, in meV per atom: version P 0; version Q 39.

***

Version P
Computed, not measured: crystalline Ce3MgHg4 at its relaxed geometry at the PBE-GGA level of DFT.

CIF file:
```
data_Ce3MgHg4
_space_group_name_H-M_alt 'P m n 21'
_space_group_IT_number 31
_cell_length_a 9.517
_cell_length_b 6.484
_cell_length_c 6.559
_cell_angle_alpha 90.00
_cell_angle_beta 90.00
_cell_angle_gamma 90.00
loop_
_space_group_symop_operation_xyz
'x,y,z'
'-x+1/2,-y,z+1/2'
'-x,y,z'
'x+1/2,-y,z+1/2'
loop_
_atom_site_label
_atom_site_type_symbol
_atom_site_fract_x
_atom_site_fract_y
_atom_site_fract_z
_atom_site_occupancy
Ce1 Ce 0.000 0.014 0.000 1
Ce2 Ce 0.219 0.230 0.825 1
Mg1 Mg 0.000 0.547 0.570 1
Hg1 Hg 0.000 0.013 0.508 1
Hg2 Hg 0.000 0.523 0.100 1
Hg3 Hg 0.244 0.272 0.316 1
```

Computed properties:
**Calculated volume**: 404.71 Å³ per cell
**Spin magnetization**: 1.84 μB per formula unit

***

Version Q
Computed, not measured: crystalline Ce3MgHg4 at its relaxed geometry at the PBE-GGA level of DFT.

CIF file:
```
data_Ce3MgHg4
_space_group_name_H-M_alt 'P 4/m m m'
_space_group_IT_number 123
_space_group_name_Hall '-P 4 2'
_cell_length_a 3.453
_cell_length_b 3.453
_cell_length_c 16.972
_cell_angle_alpha 90.00
_cell_angle_beta 90.00
_cell_angle_gamma 90.00
loop_
_atom_site_label
_atom_site_type_symbol
_atom_site_fract_x
_atom_site_fract_y
_atom_site_fract_z
_atom_site_occupancy
Ce1 Ce 0.000 0.000 0.000 1
Ce2 Ce 0.000 0.000 0.265 1
Mg1 Mg 0.000 0.000 0.500 1
Hg1 Hg 0.500 0.500 0.133 1
Hg2 Hg 0.500 0.500 0.396 1
```

Computed properties:
**Calculated volume**: 202.32 Å³ per cell
**Spin magnetization**: 3.23 μB per formula unit

***

Energy comparison, zero being the most stable, in meV per atom: version P 43; version Q 0.

***

Version P
Computed, not measured: crystalline Ce2MnHg at its relaxed geometry at the PBE-GGA level of DFT.

CIF file:
```
data_Ce2MnHg
_space_group_name_H-M_alt 'P 4/m m m'
_space_group_IT_number 123
_space_group_name_Hall '-P 4 2'
_cell_length_a 4.428
_cell_length_b 4.428
_cell_length_c 4.732
_cell_angle_alpha 90.00
_cell_angle_beta 90.00
_cell_angle_gamma 90.00
loop_
_atom_site_label
_atom_site_type_symbol
_atom_site_fract_x
_atom_site_fract_y
_atom_site_fract_z
_atom_site_occupancy
Ce1 Ce 0.000 0.500 0.000 1
Mn1 Mn 0.000 0.000 0.500 1
Hg1 Hg 0.500 0.500 0.500 1
```

Computed properties:
**Calculated volume**: 92.80 Å³ per cell
**Spin magnetization**: 1.87 μB per formula unit

***

Version Q
Computed, not measured: crystalline Ce2MnHg at its relaxed geometry at the PBE-GGA level of DFT.

CIF file:
```
data_Ce2MnHg
_space_group_name_H-M_alt 'P 4/m m m'
_space_group_IT_number 123
_space_group_name_Hall '-P 4 2'
_cell_length_a 3.243
_cell_length_b 3.243
_cell_length_c 8.503
_cell_angle_alpha 90.00
_cell_angle_beta 90.00
_cell_angle_gamma 90.00
loop_
_atom_site_label
_atom_site_type_symbol
_atom_site_fract_x
_atom_site_fract_y
_atom_site_fract_z
_atom_site_occupancy
Ce1 Ce 0.000 0.000 0.200 1
Mn1 Mn 0.500 0.500 0.000 1
Hg1 Hg 0.500 0.500 0.500 1
```

Computed properties:
**Calculated volume**: 89.42 Å³ per cell
**Spin magnetization**: 0.01 μB per formula unit

***

Version R
Computed, not measured: crystalline Ce2MnHg at its relaxed geometry at the PBE-GGA level of DFT.

CIF file:
```
data_Ce2MnHg
_space_group_name_H-M_alt 'R -3 m'
_space_group_IT_number 166
_space_group_name_Hall '-R 3 2"'
_cell_length_a 3.7739
_cell_length_b 3.7739
_cell_length_c 28.2363
_cell_angle_alpha 90.00
_cell_angle_beta 90.00
_cell_angle_gamma 120.00
loop_
_atom_site_label
_atom_site_type_symbol
_atom_site_fract_x
_atom_site_fract_y
_atom_site_fract_z
_atom_site_occupancy
Ce1 Ce 0.0000 0.0000 0.1161 1
Mn1 Mn 0.0000 0.0000 0.5000 1
Hg1 Hg 0.0000 0.0000 0.0000 1
```

Computed properties:
**Calculated volume**: 348.27 Å³ per cell
**Spin magnetization**: 0.00 μB per formula unit

***

Energy comparison, zero being the most stable, in meV per atom: version P 59; version Q 0; version R 285.